Record 1
Compound: Cr7W
Source: the Alexandria database
Functional: PBEsol
Structure: relaxed

Lattice parameters (Å, degrees): 5.732 5.732 5.732 89.80 89.80 89.80
Sites, in units of the cell vectors:
Cr (0.121, 0.121, 0.121)
Cr (0.629, 0.121, 0.121)
Cr (0.121, 0.629, 0.121)
Cr (0.629, 0.629, 0.123)
Cr (0.877, 0.371, 0.371)
Cr (0.371, 0.877, 0.371)
Cr (0.879, 0.879, 0.371)
Cr (0.121, 0.121, 0.629)
Cr (0.629, 0.123, 0.629)
Cr (0.123, 0.629, 0.629)
Cr (0.371, 0.371, 0.877)
Cr (0.879, 0.371, 0.879)
Cr (0.371, 0.879, 0.879)
Cr (0.879, 0.879, 0.879)
W (0.370, 0.370, 0.370)
W (0.630, 0.630, 0.630)

## Properties
- E_form: 0.058 eV/atom



Record 2
Compound: SbIN2
Source: the Alexandria database
Functional: PBEsol
Structure: relaxed

Lattice parameters (Å, degrees): 3.400 3.400 7.208 76.36 76.36 60.00
Sites, in units of the cell vectors:
I (0.500, 0.500, 0.500)
Sb (0.000, 0.000, 0.000)
N (0.891, 0.891, 0.328)
N (0.109, 0.109, 0.672)

## Properties
- Formation energy from raw total energies: 1358 meV per atom



Record 3
Compound: Ca2ZnRuC
Source: the Alexandria database
Functional: PBEsol
Structure: relaxed

Lattice parameters (Å, degrees): 3.847 5.009 5.009 90.00 90.00 90.00
Sites, in units of the cell vectors:
Ru (0.500, 0.000, 0.000)
C (0.000, 0.000, 0.000)
Ca (0.000, 0.000, 0.500)
Ca (0.000, 0.500, 0.000)
Zn (0.500, 0.500, 0.500)

## Properties
- E_form: -0.010 eV/atom



Record 4
Compound: Li3NiPCO7
Source: the Alexandria database
Functional: PBEsol
Structure: relaxed

Lattice parameters (Å, degrees): 4.759 6.426 8.462 90.00 87.27 90.00
Last column: magnetic moment on the atom in μB.
Sites, in units of the cell vectors:
Li (0.347, 0.598, 0.111)  0.00
Li (0.653, 0.098, 0.889)  0.00
Li (0.824, 0.563, 0.314)  0.00
Li (0.176, 0.063, 0.686)  0.00
Li (0.237, 0.286, 0.356)  0.00
Li (0.763, 0.786, 0.644)  0.00
Ni (0.816, 0.999, 0.263)  1.59
Ni (0.184, 0.499, 0.737)  1.59
P (0.312, 0.784, 0.429)  0.00
P (0.688, 0.284, 0.571)  0.00
C (0.166, 0.219, 0.023)  0.00
C (0.834, 0.719, 0.977)  0.00
O (0.924, 0.133, 0.058)  0.07
O (0.076, 0.633, 0.942)  0.07
O (0.748, 0.726, 0.128)  0.05
O (0.252, 0.226, 0.872)  0.05
O (0.323, 0.292, 0.126)  0.01
O (0.677, 0.792, 0.874)  0.01
O (0.193, 0.981, 0.352)  0.10
O (0.807, 0.481, 0.648)  0.10
O (0.224, 0.594, 0.335)  0.00
O (0.776, 0.094, 0.665)  0.00
O (0.784, 0.272, 0.391)  0.06
O (0.216, 0.772, 0.609)  0.06
O (0.639, 0.805, 0.424)  0.06
O (0.361, 0.305, 0.576)  0.06

## Properties
- Energy relative to the lowest polymorph listed for this composition: 18 meV/atom
- Formation energy from raw total energies: -1849 meV per atom



Record 5
Compound: Cd2Hg3
Source: the Alexandria database
Functional: PBEsol
Structure: relaxed

Lattice parameters (Å, degrees): 4.787 4.787 5.953 90.00 90.00 120.00
Sites, in units of the cell vectors:
Hg (0.000, 0.000, 0.000)
Hg (0.333, 0.667, 0.371)
Hg (0.667, 0.333, 0.629)
Cd (0.333, 0.667, 0.851)
Cd (0.667, 0.333, 0.149)

## Properties
- Energy relative to the lowest polymorph listed for this composition: 35 meV/atom
- E_form: 0.028 eV/atom



Record 6
Compound: Fe2RhW
Source: the Alexandria database
Functional: PBEsol
Structure: relaxed

Lattice parameters (Å, degrees): 3.695 3.695 4.430 114.65 114.65 90.00
Last column: magnetic moment on the atom in μB.
Sites, in units of the cell vectors:
Fe (0.750, 0.250, 0.500)  0.24
Fe (0.250, 0.750, 0.500)  0.24
Rh (0.000, 0.000, 0.000)  -0.02
W (0.500, 0.500, 0.000)  -0.07

## Properties
- Energy relative to the lowest polymorph listed for this composition: 73 meV/atom
- E_form: 0.020 eV/atom



Record 7
Compound: IrC2
Source: the Alexandria database
Functional: PBEsol
Structure: relaxed

Lattice parameters (Å, degrees): 2.585 2.585 3.844 90.00 90.00 90.00
Sites, in units of the cell vectors:
C (0.000, 0.500, 0.500)
C (0.500, 0.000, 0.500)
Ir (0.000, 0.000, 0.000)

## Properties
- Energy relative to the lowest polymorph listed for this composition: 1147 meV/atom
- E_form: 2.002 eV/atom



Record 8
Compound: CrSiAu3
Source: the Alexandria database
Functional: PBEsol
Structure: relaxed

Lattice parameters (Å, degrees): 4.796 4.796 4.796 90.00 90.00 90.00
Last column: magnetic moment on the atom in μB.
Sites, in units of the cell vectors:
Cr (0.000, 0.000, 0.000)  3.25
Si (0.500, 0.500, 0.500)  -0.01
Au (0.000, 0.500, 0.000)  0.14
Au (0.000, 0.000, 0.500)  0.14
Au (0.500, 0.000, 0.000)  0.14

## Properties
- Formation energy from raw total energies: 1219 meV per atom



Record 9
Compound: NaAs2SCl
Source: the Alexandria database
Functional: PBEsol
Structure: relaxed

Lattice parameters (Å, degrees): 4.881 4.893 4.893 90.00 90.00 90.00
Sites, in units of the cell vectors:
Na (0.500, 0.500, 0.500)
As (0.000, 0.000, 0.500)
As (0.000, 0.500, 0.000)
S (0.500, 0.000, 0.000)
Cl (0.000, 0.000, 0.000)

## Properties
- Formation energy from raw total energies: 647 meV per atom



Record 10
Compound: Er2MgCu2
Source: the Alexandria database
Functional: PBEsol
Structure: relaxed

Lattice parameters (Å, degrees): 3.540 7.504 7.504 90.00 90.00 90.00
Sites, in units of the cell vectors:
Mg (0.000, 0.500, 0.500)
Mg (0.000, 0.000, 0.000)
Cu (0.000, 0.877, 0.377)
Cu (0.000, 0.623, 0.877)
Cu (0.000, 0.123, 0.623)
Cu (0.000, 0.377, 0.123)
Er (0.500, 0.331, 0.831)
Er (0.500, 0.169, 0.331)
Er (0.500, 0.831, 0.669)
Er (0.500, 0.669, 0.169)

## Properties
- E_form: -0.240 eV/atom



Record 11
Compound: RuCl3
Source: the Alexandria database
Functional: PBEsol
Structure: relaxed

Lattice parameters (Å, degrees): 2.975 2.975 8.294 90.00 90.00 90.00
Last column: magnetic moment on the atom in μB.
Sites, in units of the cell vectors:
Ru (0.000, 0.000, 0.000)  0.25
Cl (0.500, 0.500, 0.828)  0.01
Cl (0.000, 0.000, 0.500)  0.03
Cl (0.500, 0.500, 0.172)  0.01

## Properties
- Formation energy from raw total energies: 348 meV per atom



Record 12
Compound: Y3MnSi
Source: the Alexandria database
Functional: PBEsol
Structure: relaxed

Lattice parameters (Å, degrees): 4.942 4.942 4.942 90.00 90.00 90.00
Sites, in units of the cell vectors:
Y (0.000, 0.500, 0.000)
Y (0.000, 0.000, 0.500)
Y (0.500, 0.000, 0.000)
Si (0.500, 0.500, 0.500)
Mn (0.000, 0.000, 0.000)

## Properties
- Formation energy from raw total energies: 234 meV per atom



Quick rundown of volume, same order as above: 11.77; 17.36; 19.30; 9.94; 23.62; 12.21; 8.56; 22.07; 23.38; 19.94; 18.35; 24.14 Å³/atom